[1]
First-principles (PBEsol) data for an optimized crystal structure of CsTa2TeH, as listed in the Alexandria database.

abc: 5.283 5.283 3.538
angles: 90.00 90.00 90.00
Space group P4/mmm (No. 123)
Inequivalent atoms, fractional coordinates:
Cs 0.000 0.000 0.000 (multiplicity 1)
Ta 0.000 0.500 0.000 (multiplicity 2)
Te 0.500 0.500 0.500 (multiplicity 1)
H 0.000 0.000 0.500 (multiplicity 1)

Results
Uncorrected energy ... -21.8 eV per cell
Calculated volume ... 19.75 Å³/atom
Total moment ... 0.000 μB per atom

[2]
First-principles (PBEsol) data for an optimized crystal structure of CsTe2H, as listed in the Alexandria database.

abc: 7.992 7.992 7.992
angles: 90.00 90.00 90.00
Space group Fm-3m (No. 225)
Inequivalent atoms, fractional coordinates:
Cs 0.000 0.000 0.000 (multiplicity 4)
Te 0.250 0.250 0.250 (multiplicity 8)
H 0.000 0.000 0.500 (multiplicity 4)

Results
Uncorrected energy ... -34.1 eV per cell
Calculated volume ... 31.90 Å³/atom
Total moment ... 0.179 μB per atom